HoAuSO | OQMD | GGA-PBE | optimized geometry; ΔE to the lowest computed polymorph = 0.497 eV per atom; density = 8332 kg/m3; total energy = -5.7120 eV/atom
1.0
4.0807 0.0000 0.0000
0.0000 6.2933 0.0000
0.0000 0.0000 6.3627
Ho Au S O
2 2 2 2
direct
0.0000 0.1967 0.0000
0.0000 0.8033 0.5000
0.5000 0.2883 0.6269
0.5000 0.7117 0.1269
0.5000 0.3488 0.2317
0.5000 0.6512 0.7317
0.0000 0.0759 0.6856
0.0000 0.9241 0.1856


ZnH10C16S2N2O4 | OQMD | GGA-PBE | optimized geometry; density = 1815 kg/m3; total energy = -6.6984 eV/atom
1.0
7.7339 0.0000 0.0000
-0.4439 9.9762 0.0000
-1.6509 -2.5749 10.0523
Zn H C S N O
2 20 32 4 4 8
direct
0.1955 0.2242 0.4055
0.8045 0.7758 0.5945
0.0956 0.5335 0.8750
0.1443 0.2924 0.9327
0.1561 0.1250 0.1117
0.2209 0.6985 0.7502
0.3091 0.0239 0.5512
0.3328 0.1207 0.9371
0.3953 0.5448 0.1480
0.4059 0.4493 0.6367
0.4204 0.6977 0.5887
0.4924 0.9896 0.2412
0.5076 0.0104 0.7588
0.5796 0.3023 0.4113
0.5941 0.5507 0.3633
0.6047 0.4552 0.8520
0.6672 0.8793 0.0629
0.6909 0.9761 0.4488
0.7791 0.3015 0.2498
0.8439 0.8750 0.8883
0.8557 0.7076 0.0673
0.9044 0.4665 0.1250
0.0021 0.8065 0.2639
0.0063 0.9568 0.2706
0.0480 0.4332 0.8077
0.0508 0.5818 0.3174
0.0743 0.3048 0.8385
0.1204 0.4740 0.3806
0.2940 0.1655 0.1380
0.3586 0.7372 0.7857
0.3790 0.1164 0.6203
0.3955 0.1642 0.0400
0.4283 0.7676 0.1778
0.4280 0.7833 0.9218
0.4323 0.3553 0.6689
0.4577 0.6428 0.2122
0.4695 0.7390 0.6948
0.4882 0.1099 0.7362
0.5118 0.8901 0.2638
0.5305 0.2610 0.3052
0.5423 0.3572 0.7878
0.5677 0.6447 0.3311
0.5720 0.2167 0.0782
0.5717 0.2324 0.8222
0.6045 0.8358 0.9600
0.6210 0.8836 0.3797
0.6414 0.2628 0.2143
0.7060 0.8345 0.8620
0.8796 0.5260 0.6194
0.9257 0.6952 0.1615
0.9492 0.4182 0.6826
0.9520 0.5668 0.1923
0.9937 0.0432 0.7294
0.9979 0.1935 0.7361
0.1091 0.7527 0.3968
0.2813 0.7697 0.0307
0.7187 0.2303 0.9693
0.8909 0.2473 0.6032
0.3520 0.2369 0.5864
0.3591 0.2145 0.2688
0.6409 0.7855 0.7312
0.6480 0.7631 0.4136
0.0381 0.3514 0.3375
0.0760 0.9998 0.8211
0.1037 0.0317 0.3790
0.2557 0.5027 0.4687
0.7443 0.4973 0.5313
0.8963 0.9683 0.6210
0.9240 0.0002 0.1789
0.9619 0.6486 0.6625


Dy2INCl | OQMD | GGA-PBE | optimized geometry; density = 6944 kg/m3; total energy = -5.8470 eV/atom
1.0
3.6903 0.0000 0.0000
-1.8452 3.1959 0.0000
0.0000 0.0000 10.1652
Dy I N Cl
2 1 1 1
direct
0.0000 0.0000 0.0000
0.3333 0.6667 0.2522
0.0000 0.0000 0.4667
0.6667 0.3333 0.1231
0.3333 0.6667 0.8281